The following is a DFT calculation (PBE+U) of crystalline MnTc2F8 at its relaxed geometry.

Output
DOS(E_F) = 1.13 states/eV/cell
Electronic total energy = -5.92 eV per atom
Crystal system = monoclinic

Geometry as POSCAR:
```
MnTc2F8
1.0
4.6143 0.1472 0.2498
-0.0028 6.2629 -3.5908
0.4514 -0.7975 5.8678
Mn Tc F
1 2 8
direct
0.0000 0.0000 0.0000
0.2414 0.3840 0.7680
0.7586 0.6160 0.2319
0.2816 0.6051 0.2101
0.7184 0.3949 0.7898
0.7591 0.8847 0.2225
0.2360 0.1735 0.3474
0.2409 0.6620 0.7772
0.2409 0.1153 0.7775
0.7640 0.8265 0.6526
0.7591 0.3380 0.2228
```